1.
The following is a DFT calculation (SCAN) of CoNiMo2 at its PBEsol-relaxed geometry.

Calculated values
For the total moment, the calculation gives 0.00 μB/f.u. The calculation puts the excess energy over the best structure of this formula in the dataset at 37 meV/atom. As for the total DFT energy (no corrections): -25.72 eV per atom. Its energy of formation from the pure elements is 9.31 kJ/mol of atoms. For the density of states at the Fermi level, the calculation gives 2.76 states/eV/f.u.

Cell: 2.610 4.206 4.568 Å, 90.00 90.00 90.00°
Sites, in units of the cell vectors:
Ni  0.500  0.000  0.539
Co  0.500  0.500  0.212
Mo  0.000  0.500  0.694
Mo  0.000  0.000  0.054

=====

2.
The following is a DFT calculation (SCAN) of CoMoO2 at its PBEsol-relaxed geometry.

Calculated values
For the total moment, the calculation gives 0.00 μB/f.u. As for the total DFT energy (no corrections): -17.25 eV per atom. The calculation puts the uncorrected formation energy at -1089 meV/atom. For the density of states at the Fermi level, the calculation gives 1.77 states/eV/f.u.

Cell: 2.772 2.772 6.314 Å, 77.32 77.32 60.00°
Sites, in units of the cell vectors:
Mo  0.000  0.000  0.000
O  0.111  0.111  0.666
Co  0.500  0.500  0.500
O  0.889  0.889  0.334

=====

3.
The following is a DFT calculation (SCAN) of CoTeMoO6 at its PBEsol-relaxed geometry.

Calculated values
For the total moment, the calculation gives 3.00 μB/f.u. As for the total DFT energy (no corrections): -15.68 eV per atom. The calculation puts the uncorrected formation energy at -1592 meV/atom. For the density of states at the Fermi level, the calculation gives 0.00 states/eV/f.u.

Cell: 5.015 5.206 8.710 Å, 90.00 90.00 90.00°
Site moments in Bohr magnetons follow the coordinates.
Sites, in units of the cell vectors:
O  0.773  0.682  0.891  0.07
Co  0.500  0.500  0.026  2.67
O  0.736  0.680  0.202  0.03
Te  0.000  0.500  0.747  0.01
O  0.227  0.318  0.891  0.07
Mo  0.000  0.500  0.305  0.02
O  0.764  0.180  0.798  0.03
Co  0.000  0.000  0.974  2.67
O  0.847  0.286  0.426  0.01
O  0.236  0.820  0.798  0.03
O  0.264  0.320  0.202  0.03
O  0.727  0.182  0.109  0.07
O  0.653  0.786  0.574  0.01
Te  0.500  0.000  0.253  0.01
O  0.347  0.214  0.574  0.01
Mo  0.500  0.000  0.695  0.02
O  0.273  0.818  0.109  0.07
O  0.153  0.714  0.426  0.01

=====

Question: total DFT energy (no corrections) of number 2 (CoMoO2)?
Answer: -17.25 eV per atom

=====

Question: What is the formula in the third record?
Answer: CoTeMoO6

=====

Question: What is the total DFT energy (no corrections) in the first record?
Answer: -25.72 eV per atom